Version P
The following is a GGA-PBE calculation of ScCrIr3 after structural relaxation, from Alexandria via LeMat-Bulk.

Cell lengths 4.6625, 4.6625, 4.6625 Å; angles 90.00, 90.00, 90.00 degrees
Last column: nearest neighbours and their distance in Å.
Atoms (fractional coordinates):
Sc1 0.0000 0.0000 0.0000  6 Ir 2.33
Cr1 0.5000 0.5000 0.5000  12 Ir 3.30
Ir1 0.0000 0.5000 0.0000  2 Sc 2.33
Ir2 0.0000 0.0000 0.5000  2 Sc 2.33
Ir3 0.5000 0.0000 0.0000  2 Sc 2.33

Computed properties:
**DOS at the Fermi energy**: 1.705 states/eV/atom

---

Version Q
The following is a GGA-PBE calculation of ScCrIr3 after structural relaxation, from Alexandria via LeMat-Bulk.

Cell lengths 4.5046, 4.5046, 4.5046 Å; angles 90.00, 90.00, 90.00 degrees
Last column: nearest neighbours and their distance in Å.
Atoms (fractional coordinates):
Sc1 0.5000 0.5000 0.5000  12 Ir 3.19
Cr1 0.0000 0.0000 0.0000  6 Ir 2.25
Ir1 0.0000 0.5000 0.0000  2 Cr 2.25
Ir2 0.0000 0.0000 0.5000  2 Cr 2.25
Ir3 0.5000 0.0000 0.0000  2 Cr 2.25

Computed properties:
**DOS at the Fermi energy**: 0.814 states/eV/atom

---

We find version Q to be the most stable, with the next structure 981 meV/atom higher.

---

Version P
The following is a GGA-PBE calculation of CrIrSe4 after structural relaxation, from Alexandria via LeMat-Bulk.

Cell lengths 6.0205, 6.0115, 6.0405 Å; angles 90.00, 89.70, 90.00 degrees
Last column: nearest neighbours and their distance in Å.
Atoms (fractional coordinates):
Cr1 0.5000 0.0000 0.5000  6 Se 2.45-2.47
Cr2 0.0000 0.5000 0.5000  6 Se 2.45-2.47
Ir1 0.0000 0.0000 0.0000  6 Se 2.51-2.53
Ir2 0.5000 0.5000 0.0000  6 Se 2.51-2.53
Se1 0.8737 0.6244 0.1346  1 Cr 2.45, 2 Ir 2.51-2.52, 1 Se 2.68
Se2 0.6263 0.1244 0.8654  1 Cr 2.45, 2 Ir 2.51-2.52, 1 Se 2.68
Se3 0.3685 0.3680 0.3767  2 Cr 2.47, 1 Ir 2.53, 1 Se 2.70
Se4 0.1315 0.8680 0.6233  2 Cr 2.47, 1 Ir 2.53, 1 Se 2.70
Se5 0.1263 0.3756 0.8654  1 Cr 2.45, 2 Ir 2.51-2.52, 1 Se 2.68
Se6 0.3737 0.8756 0.1346  1 Cr 2.45, 2 Ir 2.51-2.52, 1 Se 2.68
Se7 0.6315 0.6320 0.6233  2 Cr 2.47, 1 Ir 2.53, 1 Se 2.70
Se8 0.8685 0.1320 0.3767  2 Cr 2.47, 1 Ir 2.53, 1 Se 2.70

Computed properties:
**DOS at the Fermi energy**: 0.281 states/eV/atom

---

Version Q
The following is a GGA-PBE calculation of CrIrSe4 after structural relaxation, from Alexandria via LeMat-Bulk.

Cell lengths 5.5282, 5.5282, 5.5282 Å; angles 60.00, 60.00, 60.00 degrees
Last column: nearest neighbours and their distance in Å.
Atoms (fractional coordinates):
Cr1 0.7500 0.7500 0.7500  12 Se 3.24, 4 Ir 3.39
Ir1 0.0000 0.0000 0.0000  12 Se 3.24, 4 Cr 3.39
Se1 0.8773 0.3742 0.3742  6 Se 2.75-2.78
Se2 0.3742 0.3742 0.8773  6 Se 2.75-2.78
Se3 0.3742 0.8773 0.3742  6 Se 2.75-2.78
Se4 0.3742 0.3742 0.3742  6 Se 2.75-2.78

Computed properties:
**DOS at the Fermi energy**: 1.258 states/eV/atom

---

We find version P to be the most stable, with the next structure 1510 meV/atom higher.

---

Version P
The following is a GGA-PBE calculation of CrIrSe2 after structural relaxation, from Alexandria via LeMat-Bulk.

Cell lengths 7.8235, 7.8235, 7.8235 Å; angles 28.00, 28.00, 28.00 degrees
Last column: nearest neighbours and their distance in Å.
Atoms (fractional coordinates):
Cr1 0.0000 0.0000 0.0000  2 Se 2.51
Ir1 0.5000 0.5000 0.5000  6 Se 2.51
Se1 0.8884 0.8884 0.8884  3 Ir 2.51, 1 Cr 2.51
Se2 0.1116 0.1116 0.1116  3 Ir 2.51, 1 Cr 2.51

Computed properties:
**DOS at the Fermi energy**: 0.159 states/eV/atom

---

Version Q
The following is a GGA-PBE calculation of CrIrSe2 after structural relaxation, from Alexandria via LeMat-Bulk.

Cell lengths 5.5836, 5.5836, 5.5836 Å; angles 148.46, 131.72, 58.82 degrees
Last column: nearest neighbours and their distance in Å.
Atoms (fractional coordinates):
Cr1 0.4985 0.4985 0.0000  6 Se 2.73-2.75, 2 Ir 2.98, 2 Cr 3.04
Ir1 0.7621 0.2621 0.5000  6 Se 2.57-2.74
Se1 0.9747 0.9747 0.0000  2 Ir 2.57, 4 Cr 2.75
Se2 0.2646 0.7646 0.5000  2 Cr 2.73, 4 Ir 2.74, 2 Se 3.04

Computed properties:
**DOS at the Fermi energy**: 0.630 states/eV/atom

---

We find version P to be the most stable, with the next structure 133 meV/atom higher.

---

Version P
The following is a GGA-PBE calculation of CrIrSe2 after structural relaxation, from Alexandria via LeMat-Bulk.

Cell lengths 7.1303, 7.1303, 4.5780 Å; angles 84.46, 84.46, 23.07 degrees
Last column: nearest neighbours and their distance in Å.
Atoms (fractional coordinates):
Cr1 0.7500 0.7500 0.7500  4 Se 2.48, 4 Ir 2.70
Ir1 0.2500 0.2500 0.2500  2 Se 2.43, 4 Cr 2.70
Se1 0.1146 0.1146 0.9563  1 Ir 2.43, 2 Cr 2.48
Se2 0.3854 0.3854 0.5437  1 Ir 2.43, 2 Cr 2.48

Computed properties:
**DOS at the Fermi energy**: 0.787 states/eV/atom

---

Version Q
The following is a GGA-PBE calculation of CrIrSe2 after structural relaxation, from Alexandria via LeMat-Bulk.

Cell lengths 3.8996, 3.8989, 6.1117 Å; angles 89.73, 90.00, 90.00 degrees
Last column: nearest neighbours and their distance in Å.
Atoms (fractional coordinates):
Cr1 0.0000 0.3751 0.6251  4 Se 2.46, 4 Ir 2.76
Ir1 0.5000 0.8750 0.6250  4 Se 2.46, 4 Cr 2.76
Se1 0.0000 0.8732 0.8712  2 Cr 2.46, 2 Ir 2.46
Se2 0.5000 0.3768 0.3788  2 Ir 2.46, 2 Cr 2.46

Computed properties:
**DOS at the Fermi energy**: 0.494 states/eV/atom

---

Version R
The following is a GGA-PBE calculation of CrIrSe2 after structural relaxation, from Alexandria via LeMat-Bulk.

Cell lengths 4.9583, 4.9583, 4.4682 Å; angles 81.62, 81.62, 39.65 degrees
Last column: nearest neighbours and their distance in Å.
Atoms (fractional coordinates):
Cr1 0.5063 0.5063 0.5146  3 Se 2.49-2.61
Ir1 0.2402 0.2402 0.2592  3 Se 2.46-2.52
Se1 0.9992 0.9992 0.0693  1 Ir 2.52, 2 Cr 2.61
Se2 0.7543 0.7543 0.6569  2 Ir 2.46, 1 Cr 2.49

Computed properties:
**DOS at the Fermi energy**: 0.549 states/eV/atom

---

Version S
The following is a GGA-PBE calculation of CrIrSe2 after structural relaxation, from Alexandria via LeMat-Bulk.

Cell lengths 3.4302, 3.4310, 6.6064 Å; angles 90.00, 90.00, 90.00 degrees
Last column: nearest neighbours and their distance in Å.
Atoms (fractional coordinates):
Cr1 0.0000 0.0000 0.5085  5 Se 2.47-2.60
Ir1 0.5000 0.5000 0.7418  5 Se 2.48-2.60
Se1 0.0000 0.0000 0.8830  1 Cr 2.47, 4 Ir 2.60
Se2 0.5000 0.5000 0.3667  1 Ir 2.48, 4 Cr 2.60

Computed properties:
**DOS at the Fermi energy**: 0.324 states/eV/atom

---

We find version Q to be the most stable, with the next structure 156 meV/atom higher.